Density functional theory data (GGA-PBE) for a relaxed Nd3Ga4 crystal.

Cell lengths 8.203, 8.203, 8.203 Å; angles 113.78, 113.78, 113.78 degrees
Fractional coordinates of all 14 atoms:
1 Nd 0.972 0.717 0.596
2 Ga 0.925 0.448 0.774
3 Nd 0.283 0.404 0.028
4 Ga 0.226 0.075 0.552
5 Nd 0.717 0.596 0.972
6 Ga 0.000 0.000 0.000
7 Nd 0.028 0.283 0.404
8 Ga 0.552 0.226 0.075
9 Nd 0.596 0.972 0.717
10 Ga 0.448 0.774 0.925
11 Ga 0.500 0.500 0.500
12 Ga 0.774 0.925 0.448
13 Nd 0.404 0.028 0.283
14 Ga 0.075 0.552 0.226

As for the crystal system: trigonal. The distance to the lowest polymorph of the same formula comes out at 78.6 meV/atom. Its space group is R-3.